Run A
Computed, not measured: crystalline Na5Tl5Hg2 at its relaxed geometry at the PBE-GGA level of DFT.

CIF file:
```
data_Na5Tl5Hg2
_space_group_name_H-M_alt 'C 1 2/m 1'
_space_group_IT_number 12
_space_group_name_Hall '-C 2y'
_cell_length_a 14.734
_cell_length_b 4.595
_cell_length_c 11.126
_cell_angle_alpha 90.00
_cell_angle_beta 118.32
_cell_angle_gamma 90.00
loop_
_atom_site_label
_atom_site_fract_x
_atom_site_fract_y
_atom_site_fract_z
_atom_site_occupancy
Na1 0.000 0.000 0.000 1
Na2 0.097 0.000 0.769 1
Na3 0.162 0.000 0.500 1
Tl1 0.000 0.500 0.500 1
Tl2 0.079 0.500 0.251 1
Tl3 0.242 0.000 0.242 1
Hg1 0.161 0.500 0.997 1
```

Calculated values
* magnetization: 0.0 μB/cell
* mass density: 7.7 g/cm3



Run B
Computed, not measured: crystalline Na5Tl5Hg2 at its relaxed geometry at the PBE-GGA level of DFT.

CIF file:
```
data_Na5Tl5Hg2
_space_group_name_H-M_alt 'C 1 2/m 1'
_space_group_IT_number 12
_space_group_name_Hall '-C 2y'
_cell_length_a 14.847
_cell_length_b 4.539
_cell_length_c 11.179
_cell_angle_alpha 90.00
_cell_angle_beta 118.47
_cell_angle_gamma 90.00
loop_
_atom_site_label
_atom_site_fract_x
_atom_site_fract_y
_atom_site_fract_z
_atom_site_occupancy
Na1 0.000 0.000 0.000 1
Na2 0.084 0.000 0.752 1
Na3 0.165 0.000 0.498 1
Tl1 0.000 0.500 0.500 1
Tl2 0.164 0.500 0.998 1
Tl3 0.243 0.000 0.249 1
Hg1 0.082 0.500 0.256 1
```

Calculated values
* magnetization: 0.0 μB/cell
* mass density: 7.7 g/cm3



Most stable: run B (next structure +0.011 eV/atom)



Run A
Computed, not measured: crystalline NaTl6Hg12 at its relaxed geometry at the PBE-GGA level of DFT.

CIF file:
```
data_NaTl6Hg12
_space_group_name_H-M_alt 'R -3'
_space_group_IT_number 148
_space_group_name_Hall '-R 3'
_cell_length_a 12.0073
_cell_length_b 12.0073
_cell_length_c 13.1128
_cell_angle_alpha 90.00
_cell_angle_beta 90.00
_cell_angle_gamma 120.00
loop_
_atom_site_label
_atom_site_fract_x
_atom_site_fract_y
_atom_site_fract_z
_atom_site_occupancy
Na1 0.0000 0.0000 0.0000 1
Tl1 0.0157 0.5868 0.7209 1
Hg1 0.0420 0.8582 0.8196 1
Hg2 0.0582 0.1927 0.3981 1
```

Calculated values
* magnetization: 0.0 μB/cell
* mass density: 11.1 g/cm3



Run B
Computed, not measured: crystalline NaTl6Hg12 at its relaxed geometry at the PBE-GGA level of DFT.

CIF file:
```
data_NaTl6Hg12
_space_group_name_H-M_alt 'R -3'
_space_group_IT_number 148
_space_group_name_Hall '-R 3'
_cell_length_a 14.2928
_cell_length_b 14.2928
_cell_length_c 9.5805
_cell_angle_alpha 90.00
_cell_angle_beta 90.00
_cell_angle_gamma 120.00
loop_
_atom_site_label
_atom_site_fract_x
_atom_site_fract_y
_atom_site_fract_z
_atom_site_occupancy
Na1 0.0000 0.0000 0.0000 1
Tl1 0.0256 0.8072 0.7545 1
Hg1 0.0250 0.8171 0.4178 1
Hg2 0.0354 0.8040 0.0921 1
```

Calculated values
* magnetization: 0.0 μB/cell
* mass density: 10.7 g/cm3



Most stable: run B (next structure +0.011 eV/atom)



Run A
Computed, not measured: crystalline NaTl4Hg2 at its relaxed geometry at the PBE-GGA level of DFT.

CIF file:
```
data_NaTl4Hg2
_space_group_name_H-M_alt 'P 42/m n m'
_space_group_IT_number 136
_space_group_name_Hall '-P 4n 2n'
_cell_length_a 9.255
_cell_length_b 9.255
_cell_length_c 5.129
_cell_angle_alpha 90.00
_cell_angle_beta 90.00
_cell_angle_gamma 90.00
loop_
_atom_site_label
_atom_site_fract_x
_atom_site_fract_y
_atom_site_fract_z
_atom_site_occupancy
Na1 0.000 0.000 0.000 1
Tl1 0.110 0.356 0.500 1
Hg1 0.168 0.832 0.500 1
```

Calculated values
* magnetization: 0.0 μB/cell
* mass density: 9.4 g/cm3



Run B
Computed, not measured: crystalline NaTl4Hg2 at its relaxed geometry at the PBE-GGA level of DFT.

CIF file:
```
data_NaTl4Hg2
_space_group_name_H-M_alt 'C m m m'
_space_group_IT_number 65
_space_group_name_Hall '-C 2 2'
_cell_length_a 5.519
_cell_length_b 21.565
_cell_length_c 3.437
_cell_angle_alpha 90.00
_cell_angle_beta 90.00
_cell_angle_gamma 90.00
loop_
_atom_site_label
_atom_site_fract_x
_atom_site_fract_y
_atom_site_fract_z
_atom_site_occupancy
Na1 0.000 0.000 0.000 1
Tl1 0.000 0.143 0.500 1
Tl2 0.000 0.292 0.000 1
Hg1 0.000 0.431 0.500 1
```

Calculated values
* magnetization: 0.0 μB/cell
* mass density: 10.1 g/cm3



Most stable: run B (next structure +0.044 eV/atom)